No. 1
Crystalline TcPb2O4F at its relaxed geometry. Source: Alexandria via LeMat-Bulk, functional GGA-PBE.

As for the magnetization: 0.0 μB per formula unit. The value obtained for the formation energy from raw total energies is -1.35 eV per atom.

It has space group C2/m (No. 12), with a = 10.100 Å, b = 3.422 Å, c = 7.928 Å, α = 90.00°, β = 114.99° and γ = 90.00°. The distinct sites, in fractional coordinates, are Tc at (0.000, 0.000, 0.000), Pb at (0.169, 0.000, 0.742), O at (0.107, 0.500, 0.952), O at (0.139, 0.000, 0.240) and F at (0.000, 0.500, 0.500).

***

No. 2
Crystalline CaPbO2 at its relaxed geometry. Source: Alexandria via LeMat-Bulk, functional GGA-PBE.

As for the magnetization: 0.0 μB per formula unit. The value obtained for the formation energy from raw total energies is -1.85 eV per atom.

It has space group I-42d (No. 122), with a = 5.457 Å, b = 5.457 Å, c = 10.918 Å, α = 90.00°, β = 90.00° and γ = 90.00°. The distinct sites, in fractional coordinates, are Ca at (0.000, 0.000, 0.000), Pb at (0.000, 0.000, 0.500) and O at (0.222, 0.250, 0.125).

***

No. 3
Crystalline CaTc2As at its relaxed geometry. Source: Alexandria via LeMat-Bulk, functional GGA-PBE.

The calculation puts the formation energy at 36.18 kJ per mole of atoms. As for the magnetization: 0.0 μB per formula unit.

It has space group R-3m (No. 166, hexagonal axes), with a = 3.1266 Å, b = 3.1266 Å, c = 25.4227 Å, α = 90.00°, β = 90.00° and γ = 120.00°. The distinct sites, in fractional coordinates, are Ca at (0.0000, 0.0000, 0.0000), Tc at (0.0000, 0.0000, 0.2354) and As at (0.0000, 0.0000, 0.5000).

***

No. 4
Crystalline Zr2ScPt3 at its relaxed geometry. Source: Alexandria via LeMat-Bulk, functional GGA-PBE.

The calculation puts the formation energy at -99.91 kJ per mole of atoms. As for the magnetization: 0.0 μB per formula unit.

It has space group C2/c (No. 15), with a = 8.446 Å, b = 13.580 Å, c = 4.600 Å, α = 90.00°, β = 122.94° and γ = 90.00°. The distinct sites, in fractional coordinates, are Zr at (0.000, 0.073, 0.250), Zr at (0.000, 0.234, 0.750), Sc at (0.000, 0.412, 0.250), Pt at (0.220, 0.414, 0.969) and Pt at (0.250, 0.250, 0.500).

***

No. 5
Crystalline BeRhBr2 at its relaxed geometry. Source: Alexandria via LeMat-Bulk, functional GGA-PBE.

The energy above the most stable polymorph in this dataset comes out at 0.000 eV/atom. As for the magnetization: 0.0 μB per formula unit. The value obtained for the formation energy from raw total energies is -0.40 eV per atom.

It has space group P1 (No. 1), with a = 3.564 Å, b = 6.273 Å, c = 8.515 Å, α = 105.95°, β = 91.09° and γ = 106.45°. The distinct sites, in fractional coordinates, are Be at (0.000, 0.000, 0.000), Be at (0.032, 0.084, 0.774), Rh at (0.410, 0.807, 0.823), Rh at (0.650, 0.276, 0.951), Br at (0.139, 0.701, 0.070), Br at (0.463, 0.383, 0.704), Br at (0.646, 0.853, 0.555) and Br at (0.864, 0.231, 0.219).

***

No. 6
Crystalline BaMg6Sn6 at its relaxed geometry. Source: Alexandria via LeMat-Bulk, functional GGA-PBE.

The calculation puts the formation energy at -19.28 kJ per mole of atoms. As for the magnetization: 0.0 μB per formula unit.

It has space group Immm (No. 71), with a = 6.354 Å, b = 9.712 Å, c = 10.954 Å, α = 90.00°, β = 90.00° and γ = 90.00°. The distinct sites, in fractional coordinates, are Ba at (0.000, 0.000, 0.000), Mg at (0.000, 0.249, 0.500), Mg at (0.250, 0.250, 0.250), Sn at (0.000, 0.000, 0.338), Sn at (0.000, 0.350, 0.000) and Sn at (0.000, 0.500, 0.336).